SbWF3 | PBE with a Hubbard U | relaxed

Properties
DFT total energy = -20.546 eV per formula unit
ΔE to the lowest computed polymorph = 0.000 eV per atom
total magnetization = 6.00 μB per cell

CIF file:
```
data_SbWF3
_chemical_formula_sum 'Sb1 W1 F3'
_symmetry_space_group_name_H-M 'P m -3 m'
_symmetry_Int_Tables_number 221
_symmetry_space_group_name_Hall '-P 4 2 3'
_cell_length_a 4.564
_cell_length_b 4.564
_cell_length_c 4.564
_cell_angle_alpha 90.00
_cell_angle_beta 90.00
_cell_angle_gamma 90.00
loop_
_atom_site_label
_atom_site_fract_x
_atom_site_fract_y
_atom_site_fract_z
Sb1 0.000 0.000 0.000
W1 0.500 0.500 0.500
F1 0.000 0.000 0.500
```